Arrangement w

## Tl5CdHg2 (PBE)

Data for a relaxed structure of Tl5CdHg2.

Properties
Size of the total moment in μB per formula unit: 0.00
Density in g/cm3: 11.01
SG: Cmcm, No. 63

Cell: 6.535 6.535 20.884 Å, 90.00 90.00 148.69°
Atoms (fractional coordinates):
Tl  0.049  0.951  0.750
Tl  0.138  0.862  0.522
Tl  0.138  0.862  0.978
Tl  0.445  0.555  0.613
Tl  0.445  0.555  0.887
Tl  0.555  0.445  0.113
Tl  0.555  0.445  0.387
Tl  0.862  0.138  0.022
Tl  0.862  0.138  0.478
Tl  0.951  0.049  0.250
Cd  0.321  0.679  0.750
Cd  0.679  0.321  0.250
Hg  0.285  0.715  0.145
Hg  0.285  0.715  0.355
Hg  0.715  0.285  0.645
Hg  0.715  0.285  0.855

=====

Arrangement x

## Tl5CdHg2 (PBE)

Data for a relaxed structure of Tl5CdHg2.

Properties
Size of the total moment in μB per formula unit: 0.00
Density in g/cm3: 10.99
SG: Pbam, No. 55

Cell: 6.780 13.607 5.031 Å, 90.00 90.00 90.00°
Atoms (fractional coordinates):
Tl  0.000  0.000  0.000
Tl  0.125  0.259  0.000
Tl  0.172  0.615  0.500
Tl  0.328  0.115  0.500
Tl  0.375  0.759  0.000
Tl  0.500  0.500  0.000
Tl  0.625  0.241  0.000
Tl  0.672  0.885  0.500
Tl  0.828  0.385  0.500
Tl  0.875  0.741  0.000
Cd  0.000  0.500  0.000
Cd  0.500  0.000  0.000
Hg  0.164  0.871  0.500
Hg  0.336  0.371  0.500
Hg  0.664  0.629  0.500
Hg  0.836  0.129  0.500

=====

Most stable pick: arrangement w. Distance to second place: 0.011 eV/atom.